Compound: AcNiC2O6
Source: the Alexandria database
Functional: PBE with a Hubbard U
Structure: relaxed

Unit cell a=6.3221 b=6.3221 c=6.3221 alpha=46.33 beta=46.33 gamma=46.33
Fractional coordinates of all 10 atoms:
Ac  0.0000  0.0000  0.0000
Ni  0.5000  0.5000  0.5000
C  0.2405  0.2405  0.2405
C  0.7595  0.7595  0.7595
O  0.0468  0.6840  0.5327
O  0.3160  0.4673  0.9532
O  0.4673  0.9532  0.3160
O  0.5327  0.0468  0.6840
O  0.6840  0.5327  0.0468
O  0.9532  0.3160  0.4673

## Properties
magnetization	1.00	μB per formula unit
E_tot	-71.74	eV per formula unit
ρ	5.6	g cm⁻³